[1]
Density functional theory data (PBE-GGA) for a relaxed Pr12V3H5 crystal.

a = 13.8993 Å, b = 13.8993 Å, c = 13.8993 Å
α = 109.47°, β = 109.47°, γ = 109.47°
Closest atoms and distances in Å follow each position.
Sites, in units of the cell vectors:
Pr 0.0212 0.2104 0.1155  1 H 2.31
Pr 0.0212 0.3108 0.9057  1 H 2.31
Pr 0.0943 0.6155 0.4051  1 H 2.31
Pr 0.0943 0.9788 0.6892  1 H 2.31
Pr 0.0949 0.7104 0.6892  1 H 2.31
Pr 0.0949 0.8845 0.4057  1 H 2.31
Pr 0.1155 0.0212 0.2104  1 H 2.31
Pr 0.1155 0.5943 0.9051  1 H 2.31
Pr 0.1892 0.2104 0.5949  1 H 2.31
Pr 0.1892 0.4788 0.5943  1 H 2.31
Pr 0.2104 0.1155 0.0212  1 H 2.31
Pr 0.2104 0.5949 0.1892  1 H 2.31
Pr 0.2896 0.3108 0.9051  1 H 2.31
Pr 0.2896 0.4788 0.3845  1 H 2.31
Pr 0.3108 0.9051 0.2896  1 H 2.31
Pr 0.3108 0.9057 0.0212  1 H 2.31
Pr 0.3845 0.2896 0.4788  1 H 2.31
Pr 0.3845 0.5949 0.9057  1 H 2.31
Pr 0.4051 0.0943 0.6155  1 H 2.31
Pr 0.4051 0.8108 0.7896  1 H 2.31
Pr 0.4057 0.0949 0.8845  1 H 2.31
Pr 0.4057 0.8108 0.5212  1 H 2.31
Pr 0.4788 0.3845 0.2896  1 H 2.31
Pr 0.4788 0.5943 0.1892  1 H 2.31
Pr 0.5212 0.4057 0.8108  1 H 2.31
Pr 0.5212 0.6155 0.7104  1 H 2.31
Pr 0.5943 0.1892 0.4788  1 H 2.31
Pr 0.5943 0.9051 0.1155  1 H 2.31
Pr 0.5949 0.1892 0.2104  1 H 2.31
Pr 0.5949 0.9057 0.3845  1 H 2.31
Pr 0.6155 0.4051 0.0943  1 H 2.31
Pr 0.6155 0.7104 0.5212  1 H 2.31
Pr 0.6892 0.0943 0.9788  1 H 2.31
Pr 0.6892 0.0949 0.7104  1 H 2.31
Pr 0.7104 0.5212 0.6155  1 H 2.31
Pr 0.7104 0.6892 0.0949  1 H 2.31
Pr 0.7896 0.4051 0.8108  1 H 2.31
Pr 0.7896 0.8845 0.9788  1 H 2.31
Pr 0.8108 0.5212 0.4057  1 H 2.31
Pr 0.8108 0.7896 0.4051  1 H 2.31
Pr 0.8845 0.4057 0.0949  1 H 2.31
Pr 0.8845 0.9788 0.7896  1 H 2.31
Pr 0.9051 0.1155 0.5943  1 H 2.31
Pr 0.9051 0.2896 0.3108  1 H 2.31
Pr 0.9057 0.0212 0.3108  1 H 2.31
Pr 0.9057 0.3845 0.5949  1 H 2.31
Pr 0.9788 0.6892 0.0943  1 H 2.31
Pr 0.9788 0.7896 0.8845  1 H 2.31
V 0.1250 0.2500 0.3750  8 Pr 3.17
V 0.1250 0.3750 0.7500  8 Pr 3.17
V 0.2500 0.3750 0.1250  8 Pr 3.17
V 0.2500 0.8750 0.6250  8 Pr 3.17
V 0.3750 0.1250 0.2500  8 Pr 3.17
V 0.3750 0.7500 0.1250  8 Pr 3.17
V 0.6250 0.2500 0.8750  8 Pr 3.17
V 0.6250 0.8750 0.7500  8 Pr 3.17
V 0.7500 0.1250 0.3750  8 Pr 3.17
V 0.7500 0.6250 0.8750  8 Pr 3.17
V 0.8750 0.6250 0.2500  8 Pr 3.17
V 0.8750 0.7500 0.6250  8 Pr 3.17
H 0.0000 0.0000 0.0000  6 Pr 2.68
H 0.0000 0.0000 0.5000  6 Pr 2.68
H 0.0000 0.5000 0.0000  6 Pr 2.68
H 0.0000 0.5000 0.5000  6 Pr 2.68
H 0.1250 0.7500 0.8750  4 Pr 2.31
H 0.1250 0.8750 0.2500  4 Pr 2.31
H 0.2500 0.1250 0.8750  4 Pr 2.31
H 0.2500 0.6250 0.3750  4 Pr 2.31
H 0.3750 0.2500 0.6250  4 Pr 2.31
H 0.3750 0.6250 0.7500  4 Pr 2.31
H 0.5000 0.0000 0.0000  6 Pr 2.68
H 0.5000 0.0000 0.5000  6 Pr 2.68
H 0.5000 0.5000 0.0000  6 Pr 2.68
H 0.5000 0.5000 0.5000  6 Pr 2.68
H 0.6250 0.3750 0.2500  4 Pr 2.31
H 0.6250 0.7500 0.3750  4 Pr 2.31
H 0.7500 0.3750 0.6250  4 Pr 2.31
H 0.7500 0.8750 0.1250  4 Pr 2.31
H 0.8750 0.1250 0.7500  4 Pr 2.31
H 0.8750 0.2500 0.1250  4 Pr 2.31

Properties
DFT total energy (eV/atom): -5.005



[2]
Density functional theory data (PBE-GGA) for a relaxed K2CdSnSe4 crystal.

a = 6.8053 Å, b = 6.8053 Å, c = 6.8053 Å
α = 105.65°, β = 105.65°, γ = 117.41°
Closest atoms and distances in Å follow each position.
Sites, in units of the cell vectors:
K 0.0000 0.5000 0.5000  8 Se 3.47-3.59, 2 K 3.53
K 0.5000 0.0000 0.5000  8 Se 3.47-3.59, 2 K 3.53
Cd 0.0000 0.0000 0.0000  4 Se 2.74
Sn 0.5000 0.5000 0.0000  4 Se 2.58
Se 0.0960 0.4370 0.0000  1 Sn 2.58, 1 Cd 2.74
Se 0.4370 0.0960 0.0000  1 Sn 2.58, 1 Cd 2.74
Se 0.5630 0.5630 0.6590  1 Sn 2.58, 1 Cd 2.74
Se 0.9040 0.9040 0.3410  1 Sn 2.58, 1 Cd 2.74

Properties
Formation energy without anion corrections (eV/atom): -0.836
DFT total energy (eV/atom): -3.467



[3]
Density functional theory data (PBE-GGA) for a relaxed Os3CI crystal.

a = 4.1932 Å, b = 4.1932 Å, c = 4.1932 Å
α = 90.00°, β = 90.00°, γ = 90.00°
Closest atoms and distances in Å follow each position.
Sites, in units of the cell vectors:
Os 0.0000 0.0000 0.5000  2 C 2.10
Os 0.0000 0.5000 0.0000  2 C 2.10
Os 0.5000 0.0000 0.0000  2 C 2.10
C 0.0000 0.0000 0.0000  6 Os 2.10
I 0.5000 0.5000 0.5000  12 Os 2.97

Properties
Formation energy without anion corrections (eV/atom): 1.317
DFT total energy (eV/atom): -7.576



> Look up the DFT total energy of the second one.

-3.467 eV/atom